Density functional theory data (PBE with a Hubbard U) for a geometry-optimized CsMnF3 structure.

Results
- Space group: No. 99
- Raw total energy: -5.1062 eV per atom
- Total magnetic moment: 5.00 μB per formula unit

a b c (Å): 3.8140 3.8140 7.1814
angles (deg): 90.00 90.00 90.00
Site moments in Bohr magnetons follow the coordinates.
Sites, in units of the cell vectors:
F (0.0000, 0.5000, 0.4213)  0.03
F (0.0000, 0.0000, 0.7475)  0.01
F (0.5000, 0.0000, 0.4213)  0.05
Mn (0.5000, 0.5000, 0.5492)  4.69
Cs (0.0000, 0.0000, 0.1245)  0.00